A plane-wave DFT calculation with GGA-PBE was carried out for a relaxed K2PrHoS4 crystal.

Output
Its uncorrected formation energy is -14.86 eV per formula unit. The volume is 218.7 Å³/cell. Its symmetry is P2/m. The calculation puts the magnetization at 0.00 μB/f.u. Its total energy is -5.366 eV/atom. For the density of states at the Fermi level, the calculation gives 0.00 states/eV per atom.

abc: 7.1617 4.1323 7.7651
angles: 90.00 107.87 90.00
Fractional coordinates of all 8 atoms:
K 0.0000 0.0000 0.0000
K 0.5000 0.5000 0.0000
Pr 0.0000 0.5000 0.5000
Ho 0.5000 0.0000 0.5000
S 0.2458 0.0000 0.7068
S 0.2756 0.5000 0.2975
S 0.7244 0.5000 0.7025
S 0.7542 0.0000 0.2932



A plane-wave DFT calculation with GGA-PBE was carried out for a relaxed KPrHo4S8 crystal.

Output
Its uncorrected formation energy is -26.87 eV per formula unit. The volume is 397.3 Å³/cell. Its symmetry is R3m. The calculation puts the magnetization at 0.00 μB/f.u. Its total energy is -6.005 eV/atom. For the density of states at the Fermi level, the calculation gives 0.00 states/eV per atom.

abc: 8.3264 8.3264 8.3264
angles: 58.83 58.83 58.83
Fractional coordinates of all 14 atoms:
K 0.0000 0.0000 0.0000
Pr 0.6336 0.6336 0.6336
Ho 0.1161 0.6337 0.6337
Ho 0.2550 0.2550 0.2550
Ho 0.6337 0.1161 0.6337
Ho 0.6337 0.6337 0.1161
S 0.3810 0.3810 0.8610
S 0.3810 0.8610 0.3810
S 0.3864 0.3864 0.3864
S 0.4263 0.8703 0.8703
S 0.8610 0.3810 0.3810
S 0.8613 0.8613 0.8613
S 0.8703 0.4263 0.8703
S 0.8703 0.8703 0.4263